[1]
Material: Sn
Method: DFT, PBE-GGA
State: relaxed

- symmetry = Fd-3m, No. 227
- spin magnetization (μB per atom) = 0.000
- excess energy over the best structure of this formula in the dataset (eV/f.u.) = 0.00
- DFT total energy (eV/atom) = -4.003
- crystal system = cubic
- DOS at the Fermi energy (states/eV per atom) = 0.24

Lattice parameters (Å, degrees): 4.6935 4.6935 4.6935 60.00 60.00 60.00
Fractional positions:
1 Sn 0.7500 0.7500 0.7500
2 Sn 0.5000 0.5000 0.5000

[2]
Material: Sn
Method: DFT, PBE-GGA
State: relaxed

- symmetry = Pm-3m, No. 221
- spin magnetization (μB per atom) = 0.000
- excess energy over the best structure of this formula in the dataset (eV/f.u.) = 0.05
- DFT total energy (eV/atom) = -3.955
- crystal system = cubic
- DOS at the Fermi energy (states/eV per atom) = 0.34

Lattice parameters (Å, degrees): 3.0721 3.0721 3.0721 90.00 90.00 90.00
Fractional positions:
1 Sn 0.0000 0.0000 0.0000

[3]
Material: Sn
Method: DFT, PBE-GGA
State: relaxed

- symmetry = P6_3/mmc, No. 194
- spin magnetization (μB per atom) = 0.000
- excess energy over the best structure of this formula in the dataset (eV/f.u.) = 0.14
- DFT total energy (eV/atom) = -3.862
- crystal system = hexagonal
- DOS at the Fermi energy (states/eV per atom) = 0.07

Lattice parameters (Å, degrees): 11.4685 11.4685 4.7890 90.00 90.00 120.00
Fractional positions:
1 Sn 0.6680 0.0817 0.2500
2 Sn 0.5864 0.6680 0.7500
3 Sn 0.9183 0.5864 0.2500
4 Sn 0.3320 0.9183 0.7500
5 Sn 0.4136 0.3320 0.2500
6 Sn 0.0817 0.4136 0.7500
7 Sn 0.5864 0.9183 0.7500
8 Sn 0.6680 0.5864 0.2500
9 Sn 0.0817 0.6680 0.7500
10 Sn 0.4136 0.0817 0.2500
11 Sn 0.3320 0.4136 0.7500
12 Sn 0.9183 0.3320 0.2500

[4]
Material: Sn
Method: DFT, PBE-GGA
State: relaxed

- symmetry = I4/mmm, No. 139
- spin magnetization (μB per atom) = 0.000
- excess energy over the best structure of this formula in the dataset (eV/f.u.) = 0.06
- DFT total energy (eV/atom) = -3.941
- crystal system = tetragonal
- DOS at the Fermi energy (states/eV per atom) = 0.50

Lattice parameters (Å, degrees): 3.3251 3.3251 3.3251 119.46 104.71 104.74
Fractional positions:
1 Sn 0.0000 0.0000 0.0000

[5]
Material: SrSn
Method: DFT, PBE-GGA
State: relaxed

- symmetry = I-43m, No. 217
- spin magnetization (μB per atom) = 0.253
- DFT total energy (eV/atom) = -2.858
- crystal system = cubic
- DOS at the Fermi energy (states/eV per atom) = 1.51

Lattice parameters (Å, degrees): 9.9588 9.9588 9.9588 90.00 90.00 90.00
Fractional positions:
1 Sr 0.2036 0.2036 0.2036
2 Sr 0.2036 0.7964 0.7964
3 Sr 0.7964 0.2036 0.7964
4 Sr 0.7964 0.7964 0.2036
5 Sr 0.7036 0.7036 0.7036
6 Sr 0.7036 0.2964 0.2964
7 Sr 0.2964 0.7036 0.2964
8 Sr 0.2964 0.2964 0.7036
9 Sn 0.3916 0.3916 0.3916
10 Sn 0.3916 0.6084 0.6084
11 Sn 0.6084 0.3916 0.6084
12 Sn 0.6084 0.6084 0.3916
13 Sn 0.8916 0.8916 0.8916
14 Sn 0.8916 0.1084 0.1084
15 Sn 0.1084 0.8916 0.1084
16 Sn 0.1084 0.1084 0.8916

[6]
Material: SrSn2
Method: DFT, PBE-GGA
State: relaxed

- symmetry = I4/mmm, No. 139
- spin magnetization (μB per atom) = 0.000
- DFT total energy (eV/atom) = -3.639
- crystal system = tetragonal
- DOS at the Fermi energy (states/eV per atom) = 0.47

Lattice parameters (Å, degrees): 4.0150 4.0150 6.4915 108.01 108.01 90.00
Fractional positions:
1 Sr 0.0000 0.0000 0.0000
2 Sn 0.6951 0.6951 0.3901
3 Sn 0.3049 0.3049 0.6099

[7]
Material: SrSn
Method: DFT, PBE-GGA
State: relaxed

- symmetry = Fddd, No. 70
- spin magnetization (μB per atom) = 0.000
- DFT total energy (eV/atom) = -3.394
- crystal system = orthorhombic
- DOS at the Fermi energy (states/eV per atom) = 0.29

Lattice parameters (Å, degrees): 3.7946 19.0710 15.3762 90.00 90.00 90.00
Fractional positions:
1 Sr 0.0000 0.8653 0.0000
2 Sr 0.0000 0.1347 0.0000
3 Sr 0.2500 0.8847 0.2500
4 Sr 0.2500 0.6153 0.2500
5 Sr 0.0000 0.3653 0.5000
6 Sr 0.0000 0.6347 0.5000
7 Sr 0.2500 0.3847 0.7500
8 Sr 0.2500 0.1153 0.7500
9 Sr 0.5000 0.8653 0.5000
10 Sr 0.5000 0.1347 0.5000
11 Sr 0.7500 0.8847 0.7500
12 Sr 0.7500 0.6153 0.7500
13 Sr 0.5000 0.3653 0.0000
14 Sr 0.5000 0.6347 0.0000
15 Sr 0.7500 0.3847 0.2500
16 Sr 0.7500 0.1153 0.2500
17 Sn 0.0000 0.0000 0.4037
18 Sn 0.0000 0.0000 0.5963
19 Sn 0.2500 0.7500 0.8463
20 Sn 0.2500 0.7500 0.6537
21 Sn 0.0000 0.5000 0.9037
22 Sn 0.0000 0.5000 0.0963
23 Sn 0.2500 0.2500 0.3463
24 Sn 0.2500 0.2500 0.1537
25 Sn 0.5000 0.0000 0.9037
26 Sn 0.5000 0.0000 0.0963
27 Sn 0.7500 0.7500 0.3463
28 Sn 0.7500 0.7500 0.1537
29 Sn 0.5000 0.5000 0.4037
30 Sn 0.5000 0.5000 0.5963
31 Sn 0.7500 0.2500 0.8463
32 Sn 0.7500 0.2500 0.6537

[8]
Material: SrSn
Method: DFT, PBE-GGA
State: relaxed

- symmetry = P6_3/mmc, No. 194
- spin magnetization (μB per atom) = 0.000
- DFT total energy (eV/atom) = -3.252
- crystal system = hexagonal
- DOS at the Fermi energy (states/eV per atom) = 0.52

Lattice parameters (Å, degrees): 10.9444 10.9444 4.6453 90.00 90.00 120.00
Fractional positions:
1 Sr 0.8134 0.6267 0.2500
2 Sr 0.1866 0.8134 0.7500
3 Sr 0.3733 0.1866 0.2500
4 Sr 0.1866 0.3733 0.7500
5 Sr 0.8134 0.1866 0.2500
6 Sr 0.6267 0.8134 0.7500
7 Sn 0.4490 0.8981 0.2500
8 Sn 0.5510 0.4490 0.7500
9 Sn 0.1019 0.5510 0.2500
10 Sn 0.5510 0.1019 0.7500
11 Sn 0.4490 0.5510 0.2500
12 Sn 0.8981 0.4490 0.7500